# Pm3Cd4Ag2

Crystalline Pm3Cd4Ag2 at its relaxed geometry (PBE, the Alexandria database).

Output
Space group: No. 12
Polymorph energy (0 for the lowest one), meV per atom: 0.0

Lattice parameters (Å, degrees): 6.0720 6.0720 9.2964 117.68 117.68 48.69
Last column: nearest neighbours and their distance in Å.
Fractional coordinates of all 9 atoms:
Pm1 0.0000 0.0000 0.0000  8 Cd 3.31-3.40, 4 Ag 3.33, 2 Pm 3.40
Pm2 0.3311 0.3311 0.3370  4 Ag 3.32-3.39, 8 Cd 3.32-3.39, 2 Pm 3.40-3.41
Pm3 0.6689 0.6689 0.6630  4 Ag 3.32-3.39, 8 Cd 3.32-3.39, 2 Pm 3.40-3.41
Cd1 0.0531 0.0531 0.3845  2 Ag 2.88, 1 Cd 2.93
Cd2 0.2819 0.2819 0.9458  1 Ag 2.88, 2 Cd 2.92
Cd3 0.7181 0.7181 0.0542  1 Ag 2.88, 2 Cd 2.92
Cd4 0.9469 0.9469 0.6155  2 Ag 2.88, 1 Cd 2.93
Ag1 0.3933 0.3933 0.7258  3 Cd 2.88
Ag2 0.6067 0.6067 0.2742  3 Cd 2.88

---

# Pm3CdAg3

Crystalline Pm3CdAg3 at its relaxed geometry (PBE, the Alexandria database).

Output
Space group: No. 176
Polymorph energy (0 for the lowest one), meV per atom: 123.1

Lattice parameters (Å, degrees): 8.9359 8.9359 5.1461 90.00 90.00 120.00
Last column: nearest neighbours and their distance in Å.
Fractional coordinates of all 14 atoms:
Pm1 0.0849 0.4346 0.2500  4 Ag 3.04-3.16, 3 Cd 3.35-3.38
Pm2 0.3496 0.9151 0.2500  4 Ag 3.04-3.16, 3 Cd 3.35-3.38
Pm3 0.4346 0.3496 0.7500  4 Ag 3.04-3.16, 3 Cd 3.35-3.38
Pm4 0.5654 0.6504 0.2500  4 Ag 3.04-3.16, 3 Cd 3.35-3.38
Pm5 0.6504 0.0849 0.7500  4 Ag 3.04-3.16, 3 Cd 3.35-3.38
Pm6 0.9151 0.5654 0.7500  4 Ag 3.04-3.16, 3 Cd 3.35-3.38
Cd1 0.3333 0.6667 0.7500  9 Pm 3.35-3.38, 3 Ag 3.59
Cd2 0.6667 0.3333 0.2500  9 Pm 3.35-3.38, 3 Ag 3.59
Ag1 0.0348 0.2094 0.7500  6 Ag 3.01-3.10, 4 Pm 3.04-3.16
Ag2 0.1746 0.9652 0.7500  6 Ag 3.01-3.10, 4 Pm 3.04-3.16
Ag3 0.2094 0.1746 0.2500  6 Ag 3.01-3.10, 4 Pm 3.04-3.16
Ag4 0.7906 0.8254 0.7500  6 Ag 3.01-3.10, 4 Pm 3.04-3.16
Ag5 0.8254 0.0348 0.2500  6 Ag 3.01-3.10, 4 Pm 3.04-3.16
Ag6 0.9652 0.7906 0.2500  6 Ag 3.01-3.10, 4 Pm 3.04-3.16

---

# PmCd3Ag2

Crystalline PmCd3Ag2 at its relaxed geometry (PBE, the Alexandria database).

Output
Space group: No. 12

Lattice parameters (Å, degrees): 8.9127 8.9127 7.3840 108.35 108.35 29.66
Last column: nearest neighbours and their distance in Å.
Fractional coordinates of all 12 atoms:
Pm1 0.1141 0.1141 0.1681  7 Ag 3.22-3.55, 6 Cd 3.27-3.57
Pm2 0.8859 0.8859 0.8319  7 Ag 3.22-3.55, 6 Cd 3.27-3.57
Cd1 0.0704 0.0704 0.6785  3 Ag 2.82-2.94, 3 Cd 2.95-2.99
Cd2 0.3053 0.3053 0.0782  4 Ag 2.90-3.24, 5 Cd 2.96-3.24
Cd3 0.3709 0.3709 0.5050  4 Ag 2.86-2.95, 3 Cd 2.98-2.99
Cd4 0.6291 0.6291 0.4950  4 Ag 2.86-2.95, 3 Cd 2.98-2.99
Cd5 0.6947 0.6947 0.9218  4 Ag 2.90-3.24, 5 Cd 2.96-3.24
Cd6 0.9296 0.9296 0.3215  3 Ag 2.82-2.94, 3 Cd 2.95-2.99
Ag1 0.2378 0.2378 0.6581  5 Cd 2.87-2.95
Ag2 0.4822 0.4822 0.1700  1 Ag 2.77, 4 Cd 2.82-2.90
Ag3 0.5178 0.5178 0.8300  1 Ag 2.77, 4 Cd 2.82-2.90
Ag4 0.7622 0.7622 0.3419  5 Cd 2.87-2.95

---

# Pm3Cd2Ag4

Crystalline Pm3Cd2Ag4 at its relaxed geometry (PBE, the Alexandria database).

Output
Space group: No. 12
Polymorph energy (0 for the lowest one), meV per atom: 45.0

Lattice parameters (Å, degrees): 5.1406 5.1406 9.3481 90.04 90.04 59.94
Last column: nearest neighbours and their distance in Å.
Fractional coordinates of all 9 atoms:
Pm1 0.0000 0.0000 0.0000  8 Ag 3.05-3.20
Pm2 0.3337 0.3337 0.5966  4 Ag 3.02-3.06, 3 Cd 3.37
Pm3 0.6663 0.6663 0.4034  4 Ag 3.02-3.06, 3 Cd 3.37
Cd1 0.3329 0.3329 0.2316  4 Ag 2.88-3.15
Cd2 0.6671 0.6671 0.7684  4 Ag 2.88-3.15
Ag1 0.0007 0.0007 0.6577  1 Ag 2.95, 4 Pm 3.02-3.20, 3 Cd 3.14-3.15
Ag2 0.3330 0.3330 0.9237  1 Cd 2.88, 4 Pm 3.05-3.06
Ag3 0.6670 0.6670 0.0763  1 Cd 2.88, 4 Pm 3.05-3.06
Ag4 0.9993 0.9993 0.3423  1 Ag 2.95, 4 Pm 3.02-3.20, 3 Cd 3.14-3.15

---

# Pm6Cd2Ag

Crystalline Pm6Cd2Ag at its relaxed geometry (PBE, the Alexandria database).

Output
Space group: No. 14

Lattice parameters (Å, degrees): 6.4079 9.5165 10.2113 90.00 117.14 90.00
Last column: nearest neighbours and their distance in Å.
Fractional coordinates of all 18 atoms:
Pm1 0.0750 0.1697 0.4721  2 Cd 3.03-3.11, 1 Ag 3.21
Pm2 0.0750 0.3303 0.9721  2 Cd 3.03-3.11, 1 Ag 3.21
Pm3 0.3498 0.6912 0.4407  1 Ag 3.15, 2 Cd 3.19-3.31, 2 Pm 3.49-3.53
Pm4 0.3498 0.8088 0.9407  1 Ag 3.15, 2 Cd 3.19-3.31, 2 Pm 3.49-3.53
Pm5 0.4153 0.0367 0.2973  1 Ag 3.01
Pm6 0.4153 0.4633 0.7973  1 Ag 3.01
Pm7 0.5847 0.5367 0.2027  1 Ag 3.01
Pm8 0.5847 0.9633 0.7027  1 Ag 3.01
Pm9 0.6502 0.1912 0.0593  1 Ag 3.15, 2 Cd 3.19-3.31, 2 Pm 3.49-3.53
Pm10 0.6502 0.3088 0.5593  1 Ag 3.15, 2 Cd 3.19-3.31, 2 Pm 3.49-3.53
Pm11 0.9250 0.6697 0.0279  2 Cd 3.03-3.11, 1 Ag 3.21
Pm12 0.9250 0.8303 0.5279  2 Cd 3.03-3.11, 1 Ag 3.21
Cd1 0.1467 0.1006 0.7790  1 Ag 2.97, 4 Pm 3.03-3.31
Cd2 0.1467 0.3994 0.2790  1 Ag 2.97, 4 Pm 3.03-3.31
Cd3 0.8533 0.6006 0.7210  1 Ag 2.97, 4 Pm 3.03-3.31
Cd4 0.8533 0.8994 0.2210  1 Ag 2.97, 4 Pm 3.03-3.31
Ag1 0.0000 0.0000 0.0000  2 Cd 2.97, 6 Pm 3.01-3.21
Ag2 0.0000 0.5000 0.5000  2 Cd 2.97, 6 Pm 3.01-3.21

---

# Pm2Cd4Ag3

Crystalline Pm2Cd4Ag3 at its relaxed geometry (PBE, the Alexandria database).

Output
Space group: No. 64

Lattice parameters (Å, degrees): 8.6384 8.6384 8.5387 90.00 90.00 138.28
Last column: nearest neighbours and their distance in Å.
Fractional coordinates of all 18 atoms:
Pm1 0.1151 0.8849 0.9129  2 Ag 3.25, 8 Cd 3.29-3.49
Pm2 0.3849 0.6151 0.4129  2 Ag 3.25, 8 Cd 3.29-3.49
Pm3 0.6151 0.3849 0.5871  2 Ag 3.25, 8 Cd 3.29-3.49
Pm4 0.8849 0.1151 0.0871  2 Ag 3.25, 8 Cd 3.29-3.49
Cd1 0.1784 0.8216 0.5222  5 Ag 2.89-2.91
Cd2 0.1961 0.3039 0.7500  3 Ag 2.77-2.84, 2 Cd 3.08
Cd3 0.3039 0.1961 0.2500  3 Ag 2.77-2.84, 2 Cd 3.08
Cd4 0.3216 0.6784 0.0222  5 Ag 2.89-2.91
Cd5 0.6784 0.3216 0.9778  5 Ag 2.89-2.91
Cd6 0.6961 0.8039 0.7500  3 Ag 2.77-2.84, 2 Cd 3.08
Cd7 0.8039 0.6961 0.2500  3 Ag 2.77-2.84, 2 Cd 3.08
Cd8 0.8216 0.1784 0.4778  5 Ag 2.89-2.91
Ag1 0.0000 0.0000 0.5000  6 Cd 2.77-2.89
Ag2 0.0199 0.4801 0.7500  5 Cd 2.84-2.91, 2 Ag 3.08
Ag3 0.4801 0.0199 0.2500  5 Cd 2.84-2.91, 2 Ag 3.08
Ag4 0.5000 0.5000 0.0000  6 Cd 2.77-2.89
Ag5 0.5199 0.9801 0.7500  5 Cd 2.84-2.91, 2 Ag 3.08
Ag6 0.9801 0.5199 0.2500  5 Cd 2.84-2.91, 2 Ag 3.08

---

# Pm6CdAg

Crystalline Pm6CdAg at its relaxed geometry (PBE, the Alexandria database).

Output
Space group: No. 139

Lattice parameters (Å, degrees): 9.7437 9.7437 9.7437 148.88 148.88 44.59
Last column: nearest neighbours and their distance in Å.
Fractional coordinates of all 8 atoms:
Pm1 0.1098 0.6098 0.5000  2 Cd 3.28, 2 Ag 3.28, 4 Pm 3.62-3.65
Pm2 0.2490 0.2490 0.0000  12 Pm 3.62-3.70
Pm3 0.3902 0.8902 0.5000  2 Cd 3.28, 2 Ag 3.28, 4 Pm 3.62-3.65
Pm4 0.6098 0.1098 0.5000  2 Cd 3.28, 2 Ag 3.28, 4 Pm 3.62-3.65
Pm5 0.7510 0.7510 0.0000  12 Pm 3.62-3.70
Pm6 0.8902 0.3902 0.5000  2 Cd 3.28, 2 Ag 3.28, 4 Pm 3.62-3.65
Cd1 0.0000 0.0000 0.0000  8 Pm 3.28
Ag1 0.5000 0.5000 0.0000  8 Pm 3.28

---

# Pm3CdAg

Crystalline Pm3CdAg at its relaxed geometry (PBE, the Alexandria database).

Output
Space group: No. 63

Lattice parameters (Å, degrees): 10.4537 10.4537 5.3233 90.00 90.00 150.50
Last column: nearest neighbours and their distance in Å.
Fractional coordinates of all 10 atoms:
Pm1 0.0613 0.9387 0.7500  2 Cd 3.26, 2 Ag 3.30, 2 Pm 3.64
Pm2 0.2495 0.7505 0.7500  4 Ag 3.25-3.26, 4 Cd 3.28-3.30
Pm3 0.4363 0.5637 0.7500  2 Cd 3.23, 2 Ag 3.27
Pm4 0.5637 0.4363 0.2500  2 Cd 3.23, 2 Ag 3.27
Pm5 0.7505 0.2495 0.2500  4 Ag 3.25-3.26, 4 Cd 3.28-3.30
Pm6 0.9387 0.0613 0.2500  2 Cd 3.26, 2 Ag 3.30, 2 Pm 3.64
Cd1 0.1543 0.8457 0.2500  8 Pm 3.23-3.30
Cd2 0.8457 0.1543 0.7500  8 Pm 3.23-3.30
Ag1 0.3426 0.6574 0.2500  8 Pm 3.25-3.30
Ag2 0.6574 0.3426 0.7500  8 Pm 3.25-3.30

---

# Pm4CdAg2

Crystalline Pm4CdAg2 at its relaxed geometry (PBE, the Alexandria database).

Output
Space group: No. 65
Polymorph energy (0 for the lowest one), meV per atom: 0.0

Lattice parameters (Å, degrees): 6.4741 6.4741 5.0879 90.00 90.00 107.12
Last column: nearest neighbours and their distance in Å.
Fractional coordinates of all 7 atoms:
Pm1 0.0000 0.5000 0.5000  4 Ag 3.19, 2 Cd 3.24
Pm2 0.2312 0.2312 0.0000  4 Ag 3.22-3.27, 2 Cd 3.28, 1 Pm 3.56
Pm3 0.5000 0.0000 0.5000  4 Ag 3.19, 2 Cd 3.24
Pm4 0.7688 0.7688 0.0000  4 Ag 3.22-3.27, 2 Cd 3.28, 1 Pm 3.56
Cd1 0.5000 0.5000 0.5000  8 Pm 3.24-3.28, 4 Ag 3.54
Ag1 0.2632 0.7368 0.0000  8 Pm 3.19-3.27, 2 Cd 3.54
Ag2 0.7368 0.2632 0.0000  8 Pm 3.19-3.27, 2 Cd 3.54

---

# PmCd6Ag2

Crystalline PmCd6Ag2 at its relaxed geometry (PBE, the Alexandria database).

Output
Space group: No. 63
Polymorph energy (0 for the lowest one), meV per atom: 0.0

Lattice parameters (Å, degrees): 9.5675 9.5675 4.8574 90.00 90.00 69.99
Last column: nearest neighbours and their distance in Å.
Fractional coordinates of all 18 atoms:
Pm1 0.2016 0.7984 0.7500  12 Cd 3.29-3.51
Pm2 0.7984 0.2016 0.2500  12 Cd 3.29-3.51
Cd1 0.0348 0.1866 0.7500  6 Cd 2.95-3.11, 1 Ag 3.20, 2 Pm 3.29
Cd2 0.0508 0.3798 0.2500  4 Ag 2.85-3.09, 4 Cd 3.04-3.11
Cd3 0.1866 0.0348 0.2500  6 Cd 2.95-3.11, 1 Ag 3.20, 2 Pm 3.29
Cd4 0.2667 0.5502 0.2500  3 Ag 2.83-2.92, 3 Cd 2.87-3.11
Cd5 0.3798 0.0508 0.7500  4 Ag 2.85-3.09, 4 Cd 3.04-3.11
Cd6 0.4498 0.7333 0.2500  3 Ag 2.83-2.92, 3 Cd 2.87-3.11
Cd7 0.5502 0.2667 0.7500  3 Ag 2.83-2.92, 3 Cd 2.87-3.11
Cd8 0.6202 0.9492 0.2500  4 Ag 2.85-3.09, 4 Cd 3.04-3.11
Cd9 0.7333 0.4498 0.7500  3 Ag 2.83-2.92, 3 Cd 2.87-3.11
Cd10 0.8134 0.9652 0.7500  6 Cd 2.95-3.11, 1 Ag 3.20, 2 Pm 3.29
Cd11 0.9492 0.6202 0.7500  4 Ag 2.85-3.09, 4 Cd 3.04-3.11
Cd12 0.9652 0.8134 0.2500  6 Cd 2.95-3.11, 1 Ag 3.20, 2 Pm 3.29
Ag1 0.2357 0.3938 0.7500  7 Cd 2.83-3.09, 2 Ag 2.98
Ag2 0.3938 0.2357 0.2500  7 Cd 2.83-3.09, 2 Ag 2.98
Ag3 0.6062 0.7643 0.7500  7 Cd 2.83-3.09, 2 Ag 2.98
Ag4 0.7643 0.6062 0.2500  7 Cd 2.83-3.09, 2 Ag 2.98

---

# Pm5Cd4Ag

Crystalline Pm5Cd4Ag at its relaxed geometry (PBE, the Alexandria database).

Output
Space group: No. 123

Lattice parameters (Å, degrees): 3.8120 3.8120 19.0325 90.00 90.00 90.00
Last column: nearest neighbours and their distance in Å.
Fractional coordinates of all 10 atoms:
Pm1 0.0000 0.0000 0.0000  8 Cd 3.32
Pm2 0.0000 0.0000 0.2025  8 Cd 3.30-3.31
Pm3 0.0000 0.0000 0.4042  4 Ag 3.25, 4 Cd 3.32
Pm4 0.0000 0.0000 0.5958  4 Ag 3.25, 4 Cd 3.32
Pm5 0.0000 0.0000 0.7975  8 Cd 3.30-3.31
Cd1 0.5000 0.5000 0.1017  8 Pm 3.31-3.32
Cd2 0.5000 0.5000 0.3022  8 Pm 3.30-3.32
Cd3 0.5000 0.5000 0.6978  8 Pm 3.30-3.32
Cd4 0.5000 0.5000 0.8983  8 Pm 3.31-3.32
Ag1 0.5000 0.5000 0.5000  8 Pm 3.25

---

# Pm2Cd3Ag4

Crystalline Pm2Cd3Ag4 at its relaxed geometry (PBE, the Alexandria database).

Output
Space group: No. 2
Polymorph energy (0 for the lowest one), meV per atom: 0.0

Lattice parameters (Å, degrees): 4.9632 5.0370 9.3125 86.58 89.93 60.49
Last column: nearest neighbours and their distance in Å.
Fractional coordinates of all 9 atoms:
Pm1 0.1766 0.1459 0.2294  7 Ag 3.03-3.15, 3 Cd 3.33
Pm2 0.8234 0.8541 0.7706  7 Ag 3.03-3.15, 3 Cd 3.33
Cd1 0.1519 0.1978 0.5841  4 Ag 2.90-2.98, 1 Cd 2.99
Cd2 0.5000 0.5000 0.0000  8 Ag 3.03-3.29
Cd3 0.8481 0.8022 0.4159  4 Ag 2.90-2.98, 1 Cd 2.99
Ag1 0.1626 0.1753 0.9037  4 Cd 2.97-3.03, 4 Pm 3.03-3.15
Ag2 0.4803 0.5408 0.6458  1 Ag 2.76, 3 Cd 2.90-2.98
Ag3 0.5197 0.4592 0.3542  1 Ag 2.76, 3 Cd 2.90-2.98
Ag4 0.8374 0.8247 0.0963  4 Cd 2.97-3.03, 4 Pm 3.03-3.15

---

| no. | E_form (eV/atom) |
| --- | --- |
| 1 | -0.32 |
| 2 | -0.13 |
| 3 | -0.18 |
| 4 | -0.25 |
| 5 | -0.08 |
| 6 | -0.21 |
| 7 | -0.13 |
| 8 | -0.22 |
| 9 | -0.13 |
| 10 | -0.12 |
| 11 | -0.31 |
| 12 | -0.24 |